1.
First-principles (GGA-PBE) data for crystalline Mo3As at its relaxed geometry, as listed in Alexandria.

## Properties
Magnetic moment: 0.00 Bohr magnetons per cell
Energy: -0.68303 Ry per atom
ΔH_f (0 K): -0.7 kJ/mol of atoms
Distance to the lowest polymorph of the same formula: 0 meV/atom

a = 4.9708 Å, b = 4.9708 Å, c = 4.9708 Å
α = 90.00°, β = 90.00°, γ = 90.00°
Space group Pm-3n (No. 223)
Symmetry-distinct sites (fractional):
Mo 0.0000 0.2500 0.5000 x6
As 0.0000 0.0000 0.0000 x2

2.
First-principles (GGA-PBE) data for crystalline MoAs3 at its relaxed geometry, as listed in Alexandria.

## Properties
Magnetic moment: 0.00 Bohr magnetons per cell
Energy: -0.43784 Ry per atom
ΔH_f (0 K): 22.9 kJ/mol of atoms
Distance to the lowest polymorph of the same formula: 257 meV/atom

a = 5.1485 Å, b = 5.1485 Å, c = 5.1485 Å
α = 90.00°, β = 90.00°, γ = 90.00°
Space group Pm-3n (No. 223)
Symmetry-distinct sites (fractional):
Mo 0.0000 0.0000 0.0000 x2
As 0.0000 0.2500 0.5000 x6

3.
First-principles (GGA-PBE) data for crystalline MoAs5 at its relaxed geometry, as listed in Alexandria.

## Properties
Magnetic moment: 1.84 Bohr magnetons per cell
Energy: -0.35631 Ry per atom
ΔH_f (0 K): 80.3 kJ/mol of atoms
Distance to the lowest polymorph of the same formula: 770 meV/atom

a = 5.1249 Å, b = 5.1249 Å, c = 5.4357 Å
α = 90.00°, β = 90.00°, γ = 120.00°
Space group P6/mmm (No. 191)
Symmetry-distinct sites (fractional):
Mo 0.0000 0.0000 0.0000 x1
As 0.0000 0.5000 0.5000 x3
As 0.3333 0.6667 0.0000 x2

4.
First-principles (GGA-PBE) data for crystalline MoAs3 at its relaxed geometry, as listed in Alexandria.

## Properties
Magnetic moment: 0.00 Bohr magnetons per cell
Energy: -0.44966 Ry per atom
ΔH_f (0 K): 7.4 kJ/mol of atoms
Distance to the lowest polymorph of the same formula: 97 meV/atom

a = 3.2311 Å, b = 3.2311 Å, c = 6.6106 Å
α = 90.00°, β = 90.00°, γ = 90.00°
Space group P4/mmm (No. 123)
Symmetry-distinct sites (fractional):
Mo 0.0000 0.0000 0.0000 x1
As 0.0000 0.0000 0.5000 x1
As 0.5000 0.5000 0.2149 x2

5.
First-principles (GGA-PBE) data for crystalline MoAs3 at its relaxed geometry, as listed in Alexandria.

## Properties
Magnetic moment: 0.00 Bohr magnetons per cell
Energy: -0.44028 Ry per atom
ΔH_f (0 K): 19.7 kJ/mol of atoms
Distance to the lowest polymorph of the same formula: 224 meV/atom

a = 8.9477 Å, b = 3.2631 Å, c = 4.8843 Å
α = 90.00°, β = 97.22°, γ = 90.00°
Space group C2/m (No. 12)
Symmetry-distinct sites (fractional):
Mo 0.0000 0.0000 0.0000 x2
As 0.0000 0.5000 0.5000 x2
As 0.2219 0.5000 0.2120 x4

6.
First-principles (GGA-PBE) data for crystalline MoAs3 at its relaxed geometry, as listed in Alexandria.

## Properties
Magnetic moment: 1.89 Bohr magnetons per cell
Energy: -0.42117 Ry per atom
ΔH_f (0 K): 44.8 kJ/mol of atoms
Distance to the lowest polymorph of the same formula: 484 meV/atom

a = 4.0938 Å, b = 4.0938 Å, c = 8.2762 Å
α = 90.00°, β = 90.00°, γ = 90.00°
Space group I4/mmm (No. 139)
Symmetry-distinct sites (fractional):
Mo 0.0000 0.0000 0.0000 x2
As 0.0000 0.0000 0.5000 x2
As 0.0000 0.5000 0.2500 x4

7.
First-principles (GGA-PBE) data for crystalline MoAs3 at its relaxed geometry, as listed in Alexandria.

## Properties
Magnetic moment: 0.00 Bohr magnetons per cell
Energy: -0.42763 Ry per atom
ΔH_f (0 K): 36.3 kJ/mol of atoms
Distance to the lowest polymorph of the same formula: 396 meV/atom

a = 8.1258 Å, b = 8.1258 Å, c = 3.7972 Å
α = 90.00°, β = 90.00°, γ = 120.00°
Space group R-3m (No. 166, hexagonal axes)
Symmetry-distinct sites (fractional):
Mo 0.0000 0.0000 0.0000 x3
As 0.0000 0.5000 0.0000 x9

8.
First-principles (GGA-PBE) data for crystalline Mo3As2 at its relaxed geometry, as listed in Alexandria.

## Properties
Magnetic moment: 0.00 Bohr magnetons per cell
Energy: -0.61020 Ry per atom
ΔH_f (0 K): 5.4 kJ/mol of atoms
Distance to the lowest polymorph of the same formula: 0 meV/atom

a = 4.9381 Å, b = 8.9695 Å, c = 14.2920 Å
α = 90.00°, β = 90.00°, γ = 90.00°
Space group Fddd (No. 70, origin choice 2)
Symmetry-distinct sites (fractional):
Mo 0.1250 0.1250 0.0103 x16
Mo 0.1250 0.1250 0.6250 x8
As 0.1250 0.1250 0.4340 x16

9.
First-principles (GGA-PBE) data for crystalline MoAs3 at its relaxed geometry, as listed in Alexandria.

## Properties
Magnetic moment: 0.00 Bohr magnetons per cell
Energy: -0.42822 Ry per atom
ΔH_f (0 K): 35.6 kJ/mol of atoms
Distance to the lowest polymorph of the same formula: 388 meV/atom

a = 5.2029 Å, b = 11.2640 Å, c = 5.2201 Å
α = 90.00°, β = 90.00°, γ = 90.00°
Space group Cmcm (No. 63)
Symmetry-distinct sites (fractional):
Mo 0.0000 0.0174 0.2500 x4
As 0.0000 0.4776 0.2500 x4
As 0.2453 0.2829 0.7500 x8

10.
First-principles (GGA-PBE) data for crystalline Mo5As at its relaxed geometry, as listed in Alexandria.

## Properties
Magnetic moment: 0.00 Bohr magnetons per cell
Energy: -0.71803 Ry per atom
ΔH_f (0 K): 3.0 kJ/mol of atoms
Distance to the lowest polymorph of the same formula: 24 meV/atom

a = 3.2100 Å, b = 13.3876 Å, c = 4.3506 Å
α = 90.00°, β = 90.00°, γ = 90.00°
Space group Cmmm (No. 65)
Symmetry-distinct sites (fractional):
Mo 0.0000 0.0000 0.0000 x2
Mo 0.0000 0.1681 0.5000 x4
Mo 0.0000 0.3340 0.0000 x4
As 0.0000 0.5000 0.5000 x2

11.
First-principles (GGA-PBE) data for crystalline MoAs3 at its relaxed geometry, as listed in Alexandria.

## Properties
Magnetic moment: 0.00 Bohr magnetons per cell
Energy: -0.43156 Ry per atom
ΔH_f (0 K): 31.2 kJ/mol of atoms
Distance to the lowest polymorph of the same formula: 343 meV/atom

a = 3.3894 Å, b = 4.6191 Å, c = 9.3717 Å
α = 90.00°, β = 90.00°, γ = 90.00°
Space group Cmmm (No. 65)
Symmetry-distinct sites (fractional):
Mo 0.0000 0.0000 0.0000 x2
As 0.0000 0.0000 0.5000 x2
As 0.0000 0.5000 0.2147 x4

12.
First-principles (GGA-PBE) data for crystalline MoAs3 at its relaxed geometry, as listed in Alexandria.

## Properties
Magnetic moment: 0.00 Bohr magnetons per cell
Energy: -0.43364 Ry per atom
ΔH_f (0 K): 28.5 kJ/mol of atoms
Distance to the lowest polymorph of the same formula: 315 meV/atom

a = 4.5970 Å, b = 6.1065 Å, c = 4.9345 Å
α = 90.00°, β = 90.00°, γ = 90.00°
Space group Pmmn (No. 59, origin choice 2)
Symmetry-distinct sites (fractional):
Mo 0.2500 0.2500 0.1842 x2
As 0.2500 0.5024 0.6918 x4
As 0.2500 0.7500 0.1250 x2